Material: PuHf2Au
Method: DFT, PBE
State: relaxed

## Properties
Electronic total energy, eV per atom: -9.556
E above lowest polymorph, meV/atom: 0
SG: P4/mmm, No. 123
Crystal system: tetragonal
Magnetic moment, μB per cell: 4.884
E_form, kJ/mol of atoms: -17.1

Structure (extended XYZ):
```
4
Lattice="3.250 0.000 0.000 0.000 3.250 0.000 0.000 0.000 8.101" Properties=species:S:1:pos:R:3 pbc="T T T"
Pu 0.000 0.000 0.000
Hf 1.625 1.625 2.171
Hf 1.625 1.625 5.930
Au 0.000 0.000 4.050
```

Material: LaMg2ScI
Method: DFT, PBE
State: relaxed

## Properties
Electronic total energy, eV per atom: -2.455
Formation energy without anion corrections, eV per atom: 0.745
SG: P4/mmm, No. 123
Crystal system: tetragonal
Magnetic moment, μB per cell: 2.429

Structure (extended XYZ):
```
5
Lattice="6.140 0.000 0.000 0.000 6.140 0.000 0.000 0.000 5.965" Properties=species:S:1:pos:R:3 pbc="T T T"
La 0.000 0.000 0.000
Mg 0.000 3.070 0.000
Mg 3.070 0.000 0.000
Sc 3.070 3.070 2.983
I 0.000 0.000 2.983
```

Q: electronic total energy of number 1 (PuHf2Au)?
A: -9.556 eV per atom

Q: Among the records above, which one has the highest magnetic moment?
A: PuHf2Au